An optimized crystal structure of Sm2Ge6Pd. Source: Alexandria, functional GGA-PBE.

Cell lengths 4.1623, 11.2872, 11.2872 Å; angles 20.86, 90.00, 90.00 degrees
Atoms (fractional coordinates):
Sm1 0.0000 0.0000 0.0000
Sm2 0.0000 0.3385 0.3385
Ge1 0.0000 0.6032 0.6032
Ge2 0.0000 0.7163 0.7163
Ge3 0.5000 0.1015 0.1015
Ge4 0.5000 0.2148 0.2148
Ge5 0.5000 0.4601 0.4601
Ge6 0.5000 0.8901 0.8901
Pd1 0.5000 0.7796 0.7796

Summary:
Final energy = -0.192 Ha/atom
Total magnetization = 0.00 Bohr magnetons per cell
Energy of formation from the pure elements = -0.53 eV/atom

***

An optimized crystal structure of Sm3Ge2Pd7. Source: Alexandria, functional GGA-PBE.

Cell lengths 14.7305, 14.7305, 3.9549 Å; angles 90.00, 90.00, 163.22 degrees
Atoms (fractional coordinates):
Sm1 0.0000 0.0000 0.0000
Sm2 0.2013 0.7987 0.0000
Sm3 0.7987 0.2013 0.0000
Ge1 0.4175 0.5825 0.5000
Ge2 0.5825 0.4175 0.5000
Pd1 0.1269 0.8731 0.5000
Pd2 0.2880 0.7120 0.5000
Pd3 0.3667 0.6333 0.0000
Pd4 0.5000 0.5000 0.5000
Pd5 0.6333 0.3667 0.0000
Pd6 0.7120 0.2880 0.5000
Pd7 0.8731 0.1269 0.5000

Summary:
E above lowest polymorph = 12.84 kJ per mole of atoms
Final energy = -0.207 Ha/atom
Total magnetization = 0.00 Bohr magnetons per cell
Energy of formation from the pure elements = -0.65 eV/atom

***

An optimized crystal structure of Sm3Ge2Pd6. Source: Alexandria, functional GGA-PBE.

Cell lengths 8.2478, 8.2478, 8.2478 Å; angles 109.47, 109.47, 109.47 degrees
Atoms (fractional coordinates):
Sm1 0.0000 0.2870 0.2870
Sm2 0.0000 0.7130 0.7130
Sm3 0.2870 0.0000 0.2870
Sm4 0.2870 0.2870 0.0000
Sm5 0.7130 0.0000 0.7130
Sm6 0.7130 0.7130 0.0000
Ge1 0.0000 0.0000 0.5000
Ge2 0.0000 0.5000 0.0000
Ge3 0.5000 0.0000 0.0000
Ge4 0.5000 0.5000 0.5000
Pd1 0.0000 0.3295 0.6705
Pd2 0.0000 0.6705 0.3295
Pd3 0.3295 0.0000 0.6705
Pd4 0.3295 0.3295 0.6590
Pd5 0.3295 0.6590 0.3295
Pd6 0.3295 0.6705 0.0000
Pd7 0.3410 0.6705 0.6705
Pd8 0.6590 0.3295 0.3295
Pd9 0.6705 0.0000 0.3295
Pd10 0.6705 0.3295 0.0000
Pd11 0.6705 0.3410 0.6705
Pd12 0.6705 0.6705 0.3410

Summary:
Final energy = -0.211 Ha/atom
Total magnetization = 0.00 Bohr magnetons per cell
Energy of formation from the pure elements = -0.80 eV/atom